(1)
Compound: LiSiO
Source: Alexandria via LeMat-Bulk
Functional: PBE
Structure: optimized geometry

abc: 2.742 2.742 9.760
angles: 90.00 90.00 120.00
Each line ends with the local moment (μB).
Positions (direct):
Si 0.333 0.667 0.449  0.12
O 0.667 0.333 0.574  0.12
Li 0.333 0.667 0.169  0.01
Li 0.333 0.667 0.729  0.01
Si 0.667 0.333 0.949  -0.01
O 0.667 0.333 0.324  0.12

Properties
space group = No. 187

(2)
Compound: Li3SiO3
Source: Alexandria via LeMat-Bulk
Functional: PBE
Structure: optimized geometry

abc: 4.151 6.514 6.514
angles: 119.97 90.00 90.00
Each line ends with the local moment (μB).
Positions (direct):
Si 0.250 0.667 0.333  0.06
O 0.250 0.811 0.189  0.07
O 0.750 0.189 0.811  0.07
O 0.250 0.378 0.189  0.07
Li 0.750 0.835 0.165  0.03
Li 0.750 0.835 0.669  0.03
O 0.750 0.622 0.811  0.07
Li 0.250 0.165 0.835  0.03
O 0.250 0.811 0.622  0.07
Si 0.750 0.333 0.667  0.06
O 0.750 0.189 0.378  0.07
Li 0.250 0.165 0.331  0.03
Li 0.250 0.669 0.835  0.03
Li 0.750 0.331 0.165  0.03

Properties
space group = No. 194

(3)
Compound: LiSiO3
Source: Alexandria via LeMat-Bulk
Functional: PBE
Structure: optimized geometry

abc: 3.490 3.490 3.490
angles: 90.00 90.00 90.00
Each line ends with the local moment (μB).
Positions (direct):
Li 0.000 0.000 0.000  0.03
Si 0.500 0.500 0.500  0.00
O 0.000 0.000 0.500  0.42
O 0.500 0.000 0.000  0.63
O 0.000 0.500 0.000  0.70

Properties
space group = No. 221

(4)
Compound: Li2Si2O
Source: Alexandria via LeMat-Bulk
Functional: PBE
Structure: optimized geometry

abc: 5.623 5.623 4.332
angles: 90.00 90.00 90.00
Positions (direct):
Si 0.158 0.342 0.000
Si 0.658 0.158 0.000
Li 0.849 0.349 0.500
Si 0.842 0.658 0.000
O 0.000 0.000 0.000
O 0.500 0.500 0.000
Li 0.651 0.849 0.500
Li 0.151 0.651 0.500
Li 0.349 0.151 0.500
Si 0.342 0.842 0.000

Properties
space group = No. 127
energy relative to the lowest polymorph listed for this composition = 0 meV/atom

(5)
Compound: LiSiO2
Source: Alexandria via LeMat-Bulk
Functional: PBE
Structure: optimized geometry

abc: 2.978 5.135 4.943
angles: 88.09 90.00 90.00
Positions (direct):
O 0.500 0.713 0.900
O 0.500 0.287 0.100
Li 0.000 0.000 0.000
Li 0.500 0.000 0.500
O 0.000 0.239 0.690
Si 0.500 0.571 0.265
Si 0.500 0.429 0.735
O 0.000 0.761 0.310

Properties
space group = No. 10

(6)
Compound: Li2Si2O5
Source: Alexandria via LeMat-Bulk
Functional: PBE
Structure: optimized geometry

abc: 4.857 5.760 14.824
angles: 90.00 90.00 90.00
Positions (direct):
Si 0.197 0.406 0.148
Si 0.803 0.406 0.648
Li 0.804 0.902 0.552
O 0.790 0.075 0.431
O 0.862 0.652 0.361
O 0.758 0.000 0.250
Li 0.304 0.598 0.552
O 0.138 0.652 0.861
Li 0.696 0.402 0.448
O 0.710 0.575 0.569
O 0.290 0.575 0.069
O 0.638 0.152 0.639
Li 0.304 0.402 0.948
O 0.862 0.348 0.139
Si 0.697 0.094 0.148
Li 0.196 0.902 0.052
O 0.638 0.848 0.861
O 0.362 0.152 0.139
O 0.242 0.000 0.750
O 0.362 0.848 0.361
O 0.210 0.075 0.931
O 0.710 0.425 0.931
Si 0.303 0.094 0.648
Li 0.196 0.098 0.448
Si 0.303 0.906 0.852
Si 0.197 0.594 0.352
Li 0.804 0.098 0.948
O 0.742 0.500 0.750
Li 0.696 0.598 0.052
O 0.138 0.348 0.639
Si 0.697 0.906 0.352
Si 0.803 0.594 0.852
O 0.790 0.925 0.069
O 0.258 0.500 0.250
O 0.210 0.925 0.569
O 0.290 0.425 0.431

Properties
space group = No. 60
energy relative to the lowest polymorph listed for this composition = 6 meV/atom

(7)
Compound: Li2Si2O5
Source: Alexandria via LeMat-Bulk
Functional: PBE
Structure: optimized geometry

abc: 7.969 7.969 4.847
angles: 90.00 90.00 136.57
Positions (direct):
O 0.003 0.503 0.537
Si 0.010 0.307 0.593
Li 0.714 0.598 0.097
O 0.405 0.262 0.001
Si 0.307 0.010 0.093
Li 0.292 0.408 0.097
Si 0.996 0.700 0.593
Li 0.598 0.714 0.597
O 0.601 0.745 0.001
O 0.233 0.957 0.427
Si 0.700 0.996 0.093
O 0.745 0.601 0.501
O 0.503 0.003 0.037
Li 0.408 0.292 0.597
O 0.774 0.049 0.427
O 0.262 0.405 0.501
O 0.049 0.774 0.927
O 0.957 0.233 0.927

Properties
space group = No. 37
energy relative to the lowest polymorph listed for this composition = 0 meV/atom

(8)
Compound: LiSiO3
Source: Alexandria via LeMat-Bulk
Functional: PBE
Structure: optimized geometry

abc: 4.718 4.994 4.994
angles: 120.00 90.00 90.00
Each line ends with the local moment (μB).
Positions (direct):
O 0.500 0.270 0.270  0.28
Li 0.250 0.667 0.333  0.00
O 0.500 0.730 0.000  0.28
Si 0.250 0.000 0.000  -0.02
O 0.000 0.000 0.270  0.28
O 0.500 0.000 0.730  0.28
O 0.000 0.270 0.000  0.28
O 0.000 0.730 0.730  0.28
Li 0.750 0.333 0.667  0.00
Si 0.750 0.000 0.000  -0.02

Properties
space group = No. 182

Uncorrected formation energy (eV per formula unit)
-2.57, -13.95, 0.24, -0.83, -8.19, -23.59, -23.64, -9.65